# 1
# Be2AgOs | Alexandria via LeMat-Bulk | GGA-PBE | relaxed
data_Be2AgOs
_chemical_formula_sum 'Be2 Ag1 Os1'
_symmetry_space_group_name_H-M 'P 1'
_symmetry_Int_Tables_number 1
_symmetry_space_group_name_Hall 'P 1'
_cell_length_a 4.648
_cell_length_b 4.648
_cell_length_c 4.280
_cell_angle_alpha 104.79
_cell_angle_beta 104.79
_cell_angle_gamma 32.90
loop_
_atom_site_label
_atom_site_fract_x
_atom_site_fract_y
_atom_site_fract_z
Be1 0.000 0.000 0.000
Be2 0.723 0.723 0.348
Ag1 0.475 0.475 0.486
Os1 0.252 0.252 0.875
# energy relative to the elements: 0.168 eV/atom
# M_tot: 0.00 μB per cell
# crystal system: monoclinic
# space-group type: Cm
# volume: 12.10 Å³/atom



# 2
# BeAg2Os | Alexandria via LeMat-Bulk | GGA-PBE | relaxed
data_BeAg2Os
_chemical_formula_sum 'Be1 Ag2 Os1'
_symmetry_space_group_name_H-M 'P 1'
_symmetry_Int_Tables_number 1
_symmetry_space_group_name_Hall 'P 1'
_cell_length_a 2.812
_cell_length_b 2.823
_cell_length_c 7.291
_cell_angle_alpha 90.00
_cell_angle_beta 90.00
_cell_angle_gamma 90.00
loop_
_atom_site_label
_atom_site_fract_x
_atom_site_fract_y
_atom_site_fract_z
Be1 0.000 0.000 0.000
Ag1 0.000 0.000 0.540
Ag2 0.500 0.500 0.237
Os1 0.500 0.500 0.831
# energy relative to the elements: 0.271 eV/atom
# M_tot: 0.00 μB per cell
# crystal system: orthorhombic
# space-group type: Pmm2
# volume: 14.47 Å³/atom



# 3
# BeAg2Os | Alexandria via LeMat-Bulk | GGA-PBE | relaxed
data_BeAg2Os
_chemical_formula_sum 'Be1 Ag2 Os1'
_symmetry_space_group_name_H-M 'P 1'
_symmetry_Int_Tables_number 1
_symmetry_space_group_name_Hall 'P 1'
_cell_length_a 2.700
_cell_length_b 2.700
_cell_length_c 9.003
_cell_angle_alpha 90.00
_cell_angle_beta 90.00
_cell_angle_gamma 116.31
loop_
_atom_site_label
_atom_site_fract_x
_atom_site_fract_y
_atom_site_fract_z
Be1 0.000 0.000 0.000
Ag1 0.500 0.500 0.221
Ag2 0.500 0.500 0.779
Os1 0.000 0.000 0.500
# energy relative to the elements: 0.536 eV/atom
# M_tot: 0.00 μB per cell
# crystal system: orthorhombic
# space-group type: Cmmm
# volume: 14.71 Å³/atom



# 4
# Be2AgOs | Alexandria via LeMat-Bulk | GGA-PBE | relaxed
data_Be2AgOs
_chemical_formula_sum 'Be2 Ag1 Os1'
_symmetry_space_group_name_H-M 'P 1'
_symmetry_Int_Tables_number 1
_symmetry_space_group_name_Hall 'P 1'
_cell_length_a 7.927
_cell_length_b 7.927
_cell_length_c 7.927
_cell_angle_alpha 19.90
_cell_angle_beta 19.90
_cell_angle_gamma 19.90
loop_
_atom_site_label
_atom_site_fract_x
_atom_site_fract_y
_atom_site_fract_z
Be1 0.245 0.245 0.245
Be2 0.755 0.755 0.755
Ag1 0.000 0.000 0.000
Os1 0.500 0.500 0.500
# energy relative to the elements: 0.152 eV/atom
# M_tot: 0.00 μB per cell
# crystal system: trigonal
# space-group type: R-3m
# volume: 12.62 Å³/atom



# 5
# Be2AgOs | Alexandria via LeMat-Bulk | GGA-PBE | relaxed
data_Be2AgOs
_chemical_formula_sum 'Be4 Ag2 Os2'
_symmetry_space_group_name_H-M 'P 1'
_symmetry_Int_Tables_number 1
_symmetry_space_group_name_Hall 'P 1'
_cell_length_a 5.130
_cell_length_b 5.130
_cell_length_c 5.130
_cell_angle_alpha 106.50
_cell_angle_beta 106.50
_cell_angle_gamma 115.58
loop_
_atom_site_label
_atom_site_fract_x
_atom_site_fract_y
_atom_site_fract_z
Be1 0.116 0.625 0.991
Be2 0.375 0.366 0.491
Be3 0.634 0.125 0.009
Be4 0.875 0.884 0.509
Ag1 0.250 0.750 0.500
Ag2 0.500 0.500 0.000
Os1 0.000 0.000 0.000
Os2 0.750 0.250 0.500
# energy relative to the elements: 0.545 eV/atom
# M_tot: 0.00 μB per cell
# crystal system: tetragonal
# space-group type: I-42d
# volume: 12.88 Å³/atom



# 6
# Be2AgOsRh | Alexandria via LeMat-Bulk | GGA-PBE | relaxed
data_Be2AgOsRh
_chemical_formula_sum 'Be2 Ag1 Os1 Rh1'
_symmetry_space_group_name_H-M 'P 1'
_symmetry_Int_Tables_number 1
_symmetry_space_group_name_Hall 'P 1'
_cell_length_a 4.088
_cell_length_b 4.088
_cell_length_c 4.873
_cell_angle_alpha 90.00
_cell_angle_beta 90.00
_cell_angle_gamma 90.00
loop_
_atom_site_label
_atom_site_fract_x
_atom_site_fract_y
_atom_site_fract_z
Be1 0.000 0.500 0.000
Be2 0.500 0.000 0.000
Ag1 0.000 0.000 0.000
Os1 0.500 0.500 0.500
Rh1 0.000 0.000 0.500
# energy relative to the elements: 1.606 eV/atom
# M_tot: 2.51 μB per cell
# crystal system: tetragonal
# space-group type: P4/mmm
# volume: 16.29 Å³/atom